Below is a geometry-optimized HfSnSbP2 structure, with properties calculated at the GGA-PBE level.

```
HfSnSbP2
1.0
4.931 0.000 0.000
0.000 4.931 0.000
0.000 0.000 5.689
Hf Sn Sb P
1 1 1 2
direct
0.000 0.000 0.000
0.000 0.000 0.500
0.500 0.500 0.500
0.000 0.500 0.000
0.500 0.000 0.000
```

Values from the calculation:
SG ... P4/mmm, No. 123
Formation energy without anion corrections ... 0.41 eV/atom
Total energy ... -5.37 eV/atom
Calculated volume ... 138 Å³ per cell